Below is a relaxed structure of NiHF2, with properties calculated at the PBE+U level.

Output
total DFT energy (no corrections)	-13.8	eV per cell
crystal system	trigonal
excess energy over the best structure of this formula in the dataset	0	meV per atom

Structure (POSCAR):
```
NiHF2
1.0
-5.150 0.168 -1.142
-4.593 -2.560 0.458
-4.857 0.214 2.056
Ni H F
1 1 2
direct
0.500 0.500 0.500 Ni
0.000 0.000 0.000 H
0.922 0.922 0.922 F
0.078 0.078 0.078 F
```